1.
Computed, not measured: crystalline NaSrTl5 at its relaxed geometry at the PBE level of DFT.

Values from the calculation:
The value obtained for the density of states at the Fermi level is 0.576 states/eV per atom. Its space group is Cmmm, No. 65. As for the formation energy from the elements: -0.69 eV per formula unit.

POSCAR file:
```
NaSrTl5
1.0
3.299 -5.197 0.000
3.299 5.197 0.000
0.000 0.000 6.829
Na Sr Tl
1 1 5
direct
0.000 0.000 0.000 Na
0.500 0.500 0.500 Sr
0.000 0.500 0.243 Tl
0.000 0.500 0.757 Tl
0.500 0.000 0.243 Tl
0.500 0.000 0.757 Tl
0.500 0.500 0.000 Tl
```



2.
Computed, not measured: crystalline Na5SrTl6 at its relaxed geometry at the PBE level of DFT.

Values from the calculation:
The value obtained for the density of states at the Fermi level is 0.541 states/eV per atom. Its space group is P2/m, No. 10. As for the formation energy from the elements: -1.61 eV per formula unit.

POSCAR file:
```
Na5SrTl6
1.0
4.949 0.000 0.000
0.000 9.200 0.000
-2.401 0.000 7.785
Na Sr Tl
5 1 6
direct
0.000 0.000 0.000 Na
0.326 0.500 0.652 Na
0.332 0.000 0.666 Na
0.668 0.000 0.334 Na
0.674 0.500 0.348 Na
0.000 0.500 0.000 Sr
0.172 0.246 0.342 Tl
0.172 0.754 0.342 Tl
0.500 0.234 0.000 Tl
0.500 0.766 0.000 Tl
0.828 0.246 0.658 Tl
0.828 0.754 0.658 Tl
```



3.
Computed, not measured: crystalline Na2SrTl4 at its relaxed geometry at the PBE level of DFT.

Values from the calculation:
The value obtained for the density of states at the Fermi level is 0.459 states/eV per atom. Its space group is Immm, No. 71. As for the formation energy from the elements: -1.29 eV per formula unit. For the distance to the lowest polymorph of the same formula, the calculation gives 0.5 kJ/mol of atoms.

POSCAR file:
```
Na2SrTl4
1.0
-1.867 2.630 10.992
1.867 -2.630 10.992
1.867 2.630 -10.992
Na Sr Tl
2 1 4
direct
0.202 0.202 0.000 Na
0.798 0.798 0.000 Na
0.500 0.000 0.500 Sr
0.073 0.573 0.500 Tl
0.350 0.350 0.000 Tl
0.650 0.650 0.000 Tl
0.927 0.427 0.500 Tl
```